NiH10Se2O10, optimized geometry, DFT PBE with a Hubbard U; ρ = 2.6 Mg/m³; space-group type = C2/c, No. 15; total magnetic moment = 0.08 μB per atom; total energy = -5.029 eV per atom
1.0
8.2567 0.0685 0.0338
4.6863 6.7983 0.0338
5.8898 3.1248 8.8147
Ni H Se O
2 20 4 20
Direct
0.0411 0.9589 0.2500 Ni
0.9589 0.0411 0.7500 Ni
0.9469 0.4161 0.7767 H
0.5839 0.0531 0.7233 H
0.0531 0.5839 0.2233 H
0.4161 0.9469 0.2767 H
0.6331 0.2408 0.3319 H
0.7592 0.3669 0.1681 H
0.3669 0.7592 0.6681 H
0.2408 0.6331 0.8319 H
0.3233 0.5561 0.3340 H
0.4439 0.6767 0.1660 H
0.6767 0.4439 0.6660 H
0.5561 0.3233 0.8340 H
0.2889 0.2549 0.4745 H
0.7451 0.7111 0.0255 H
0.7111 0.7451 0.5255 H
0.2549 0.2889 0.9745 H
0.3989 0.2537 0.5571 H
0.7463 0.6011 0.9429 H
0.6011 0.7463 0.4429 H
0.2537 0.3989 0.0571 H
0.9932 0.7397 0.6118 Se
0.2603 0.0068 0.8882 Se
0.0068 0.2603 0.3882 Se
0.7397 0.9932 0.1118 Se
0.9427 0.8383 0.1831 O
0.1617 0.0573 0.3169 O
0.0573 0.1617 0.8169 O
0.8383 0.9427 0.6831 O
0.8934 0.8193 0.4790 O
0.1807 0.1066 0.0210 O
0.1066 0.1807 0.5210 O
0.8193 0.8934 0.9790 O
0.8571 0.5707 0.7675 O
0.4293 0.1429 0.7325 O
0.1429 0.4293 0.2325 O
0.5707 0.8571 0.2675 O
0.7730 0.2270 0.2500 O
0.2270 0.7730 0.7500 O
0.3068 0.6932 0.2500 O
0.6932 0.3068 0.7500 O
0.3873 0.3061 0.4562 O
0.6939 0.6127 0.0438 O
0.6127 0.6939 0.5438 O
0.3061 0.3873 0.9562 O